1.
First-principles (PBE) data for Rb3La3SnTe8 after structural relaxation, as listed in Alexandria.

a b c (Å): 9.2601 9.2658 10.2842
angles (deg): 116.80 90.00 119.98
Last column: nearest neighbours and their distance in Å.
Positions (direct):
1 Sn 0.0000 0.0000 0.5000  6 Te 3.05
2 Rb 0.5000 0.5000 0.0000  6 Te 3.71-3.72
3 Rb 0.0000 0.0000 0.0000  6 Te 3.71-3.72
4 Rb 0.0000 0.5000 0.0000  6 Te 3.71-3.72
5 La 0.5000 0.0000 0.5000  6 Te 3.23-3.26
6 La 0.0000 0.5000 0.5000  6 Te 3.23-3.26
7 La 0.5000 0.5000 0.5000  6 Te 3.23-3.26
8 Te 0.2219 0.9747 0.6966  1 Sn 3.05, 2 La 3.26
9 Te 0.7528 0.9747 0.6966  1 Sn 3.05, 2 La 3.26
10 Te 0.2645 0.5290 0.2935  3 La 3.23
11 Te 0.2472 0.0253 0.3034  1 Sn 3.05, 2 La 3.26
12 Te 0.7780 0.5560 0.3033  1 Sn 3.05, 2 La 3.26
13 Te 0.2220 0.4440 0.6967  1 Sn 3.05, 2 La 3.26
14 Te 0.7355 0.4710 0.7065  3 La 3.23
15 Te 0.7781 0.0253 0.3034  1 Sn 3.05, 2 La 3.26

SG: C2/m, No. 12
Uncorrected formation energy: -1.164 eV per atom
E_tot: -4.285 eV/atom
Total magnetic moment: 0.0 μB/f.u.


2.
First-principles (PBE) data for CaSbTe2N after structural relaxation, as listed in Alexandria.

a b c (Å): 5.8896 5.8896 4.1853
angles (deg): 90.00 90.00 90.00
Last column: nearest neighbours and their distance in Å.
Positions (direct):
1 N 0.0000 0.0000 0.5000  2 Ca 2.09
2 Sb 0.5000 0.5000 0.5000  8 Te 3.61
3 Ca 0.0000 0.0000 0.0000  2 N 2.09
4 Te 0.5000 0.0000 0.0000  2 Ca 2.94
5 Te 0.0000 0.5000 0.0000  2 Ca 2.94

SG: P4/mmm, No. 123
Uncorrected formation energy: 0.712 eV per atom
Distance to the lowest polymorph of the same formula: 632.2 meV/atom
E_tot: -3.435 eV/atom
Total magnetic moment: 0.0 μB/f.u.


3.
First-principles (PBE) data for Ba2TaFeS after structural relaxation, as listed in Alexandria.

a b c (Å): 6.1722 4.3879 6.1722
angles (deg): 90.00 90.00 90.00
Last column: nearest neighbours and their distance in Å.
Positions (direct):
1 S 0.5000 0.5000 0.5000  8 Ba 3.79
2 Ba 0.5000 0.0000 0.0000  2 Ta 3.09
3 Ba 0.0000 0.0000 0.5000  2 Ta 3.09
4 Fe 0.0000 0.5000 0.0000  2 Ta 2.19
5 Ta 0.0000 0.0000 0.0000  2 Fe 2.19

SG: P4/mmm, No. 123
Uncorrected formation energy: 0.599 eV per atom
E_tot: -5.058 eV/atom
Total magnetic moment: 1.1 μB/f.u.


4.
First-principles (PBE) data for ThPtS2 after structural relaxation, as listed in Alexandria.

a b c (Å): 3.6085 3.6085 8.4384
angles (deg): 77.65 77.65 60.00
Last column: nearest neighbours and their distance in Å.
Positions (direct):
1 S 0.1151 0.1151 0.6548  3 Pt 2.44
2 S 0.8849 0.8849 0.3452  3 Pt 2.44
3 Pt 0.5000 0.5000 0.5000  6 S 2.44
4 Th 0.0000 0.0000 0.0000  2 S 2.82

SG: R-3m, No. 166
Uncorrected formation energy: -0.305 eV per atom
E_tot: -5.734 eV/atom
Total magnetic moment: 0.0 μB/f.u.


5.
First-principles (PBE) data for CoSb2Pt after structural relaxation, as listed in Alexandria.

a b c (Å): 6.0929 6.0929 6.8038
angles (deg): 63.40 63.40 90.00
Last column: nearest neighbours and their distance in Å.
Positions (direct):
1 Co 0.2500 0.7500 0.5000  4 Sb 2.44
2 Co 0.5000 0.5000 0.0000  4 Sb 2.44
3 Sb 0.8750 0.8512 0.7500  2 Co 2.44, 2 Pt 2.61
4 Sb 0.6012 0.1250 0.2500  2 Co 2.44, 2 Pt 2.61
5 Sb 0.1488 0.6250 0.2500  2 Co 2.44, 2 Pt 2.61
6 Sb 0.3750 0.3988 0.7500  2 Co 2.44, 2 Pt 2.61
7 Pt 0.0000 0.0000 0.0000  4 Sb 2.61
8 Pt 0.7500 0.2500 0.5000  4 Sb 2.61

SG: I-42d, No. 122
Uncorrected formation energy: 0.102 eV per atom
Distance to the lowest polymorph of the same formula: 235.6 meV/atom
E_tot: -5.246 eV/atom
Total magnetic moment: 0.0 μB/f.u.


6.
First-principles (PBE) data for SiNi2Te after structural relaxation, as listed in Alexandria.

a b c (Å): 3.7337 3.7337 5.1563
angles (deg): 90.02 90.02 60.03
Last column: nearest neighbours and their distance in Å.
Positions (direct):
1 Ni 0.8749 0.8749 0.5200  1 Ni 2.37, 3 Si 2.46, 3 Te 2.57
2 Ni 0.8750 0.8750 0.9799  1 Ni 2.37, 3 Si 2.46, 3 Te 2.57
3 Si 0.5416 0.5416 0.7501  6 Ni 2.46
4 Te 0.2085 0.2085 0.2500  6 Ni 2.57

SG: P-6m2, No. 187
Uncorrected formation energy: -0.216 eV per atom
Distance to the lowest polymorph of the same formula: 0.0 meV/atom
E_tot: -5.248 eV/atom
Total magnetic moment: 0.0 μB/f.u.


7.
First-principles (PBE) data for Ti2Zn3Pd after structural relaxation, as listed in Alexandria.

a b c (Å): 5.1727 5.1727 8.0936
angles (deg): 99.91 99.91 117.47
Last column: nearest neighbours and their distance in Å.
Positions (direct):
1 Zn 0.1653 0.6704 0.8357  4 Zn 2.51-2.68, 1 Pd 2.58
2 Zn 0.8347 0.3296 0.1643  4 Zn 2.51-2.68, 1 Pd 2.58
3 Zn 0.6704 0.1653 0.8357  4 Zn 2.51-2.68, 1 Pd 2.58
4 Zn 0.8360 0.8360 0.6721  2 Zn 2.52, 3 Pd 2.58-2.68
5 Zn 0.3296 0.8347 0.1643  4 Zn 2.51-2.68, 1 Pd 2.58
6 Zn 0.1640 0.1640 0.3279  2 Zn 2.52, 3 Pd 2.58-2.68
7 Pd 0.6672 0.6672 0.3345  5 Zn 2.58-2.68, 6 Ti 2.88
8 Pd 0.3328 0.3328 0.6655  5 Zn 2.58-2.68, 6 Ti 2.88
9 Ti 0.2534 0.2534 0.0000  2 Ti 2.65-2.72, 10 Zn 2.85-2.88, 2 Pd 2.88
10 Ti 0.2500 0.7500 0.5000  2 Ti 2.68, 4 Pd 2.88, 8 Zn 2.89-2.90
11 Ti 0.7466 0.7466 0.0000  2 Ti 2.65-2.72, 10 Zn 2.85-2.88, 2 Pd 2.88
12 Ti 0.7500 0.2500 0.5000  2 Ti 2.68, 4 Pd 2.88, 8 Zn 2.89-2.90

SG: Fmmm, No. 69
Distance to the lowest polymorph of the same formula: 0.0 meV/atom
E_tot: -4.454 eV/atom
Total magnetic moment: 0.0 μB/f.u.


8.
First-principles (PBE) data for Tl3In4Pb3 after structural relaxation, as listed in Alexandria.

a b c (Å): 3.6149 9.2773 9.2773
angles (deg): 90.31 90.00 90.00
Last column: nearest neighbours and their distance in Å.
Positions (direct):
1 In 0.0000 0.6244 0.3756  6 Pb 3.24-3.32, 3 In 3.28-3.61, 2 Tl 3.61
2 In 0.0000 0.1241 0.1275  4 Pb 3.21-3.31, 1 In 3.29, 3 Tl 3.34-3.59
3 In 0.0000 0.8725 0.8759  4 Pb 3.21-3.31, 1 In 3.29, 3 Tl 3.34-3.59
4 In 0.0000 0.3749 0.6251  2 Tl 3.23, 3 In 3.28-3.61, 4 Pb 3.32
5 Tl 0.0000 0.9967 0.4917  4 In 3.59-3.75, 4 Tl 3.61-3.95, 6 Pb 3.81-3.91
6 Tl 0.0000 0.5083 0.0033  4 In 3.59-3.75, 4 Tl 3.61-3.95, 6 Pb 3.81-3.91
7 Tl 0.5000 0.1710 0.8290  6 In 3.23-3.34, 2 Tl 3.61
8 Pb 0.5000 0.6711 0.6721  6 In 3.21-3.32
9 Pb 0.5000 0.3279 0.3289  6 In 3.21-3.32
10 Pb 0.5000 0.8290 0.1710  6 In 3.24-3.31, 2 Pb 3.61

SG: Amm2, No. 38
E_tot: -2.870 eV/atom
Total magnetic moment: 0.0 μB/f.u.